[1]
A plane-wave DFT calculation with PBE was carried out for a relaxed Re2Ge2O5 crystal.

The structure in POSCAR format:
```
Re2Ge2O5
1.0
6.075 0.000 0.000
0.000 4.006 0.000
0.000 0.000 4.006
O Ge Re
5 2 2
Cartesian
1.224 2.003 0.000
4.851 0.000 2.003
4.851 2.003 0.000
3.038 2.003 2.003
1.224 0.000 2.003
1.213 2.003 2.003
4.862 2.003 2.003
3.038 0.000 0.000
0.000 0.000 0.000
```

Computed properties:
Energy above the most stable polymorph in this dataset = 724 meV/atom
Space group = No. 123



[2]
A plane-wave DFT calculation with PBE was carried out for a relaxed CuReNiGe crystal.

The structure in POSCAR format:
```
CuReNiGe
1.0
2.615 -3.066 1.182
-1.325 -2.991 2.633
-0.589 -3.916 -1.396
Ge Ni Re Cu
1 1 1 1
Cartesian
0.000 0.000 0.000
0.175 -2.493 0.605
0.351 -4.986 1.210
0.526 -7.480 1.814
```

Computed properties:
Energy above the most stable polymorph in this dataset = 244 meV/atom
Space group = No. 216



[3]
A plane-wave DFT calculation with PBE was carried out for a relaxed Sm3BiSe2 crystal.

The structure in POSCAR format:
```
Sm3BiSe2
1.0
-0.560 -1.206 4.095
3.916 -0.179 -1.781
1.880 9.817 3.148
Sm Se Bi
3 2 1
Cartesian
3.717 6.232 2.343
0.000 0.000 0.000
1.519 2.200 3.119
2.517 7.412 4.790
2.719 1.020 0.672
0.940 4.908 1.574
```

Computed properties:
Space group = No. 164



[4]
A plane-wave DFT calculation with PBE was carried out for a relaxed GdHfOs crystal.

The structure in POSCAR format:
```
GdHfOs
1.0
0.000 3.256 3.256
3.256 0.000 3.256
3.256 3.256 0.000
Hf Gd Os
1 1 1
Cartesian
1.628 1.628 1.628
0.000 0.000 0.000
4.883 4.883 4.883
```

Computed properties:
Space group = No. 216
Formation energy from the elements = 1.047 eV per atom



[5]
A plane-wave DFT calculation with PBE was carried out for a relaxed BaMg2Cd2 crystal.

The structure in POSCAR format:
```
BaMg2Cd2
1.0
3.374 -3.374 0.000
3.374 3.374 0.000
-3.374 0.000 6.390
Cd Mg Ba
2 2 1
Cartesian
3.374 0.000 1.461
0.000 0.000 4.929
1.687 -1.687 3.195
1.687 1.687 3.195
0.000 0.000 0.000
```

Computed properties:
Space group = No. 139



[6]
A plane-wave DFT calculation with PBE was carried out for a relaxed SmNiB4 crystal.

The structure in POSCAR format:
```
SmNiB4
1.0
3.199 0.000 0.000
-1.599 2.770 0.000
0.000 0.000 6.628
B Ni Sm
4 1 1
Cartesian
0.000 1.847 5.313
0.000 1.847 1.315
1.599 0.923 5.313
1.599 0.923 1.315
0.000 0.000 0.000
0.000 0.000 3.314
```

Computed properties:
Energy above the most stable polymorph in this dataset = 357 meV/atom
Space group = No. 191



[7]
A plane-wave DFT calculation with PBE was carried out for a relaxed Nb4Sn5Pt5 crystal.

The structure in POSCAR format:
```
Nb4Sn5Pt5
1.0
-3.057 -5.476 -0.209
4.121 -5.988 2.441
-3.858 -1.686 6.409
Pt Sn Nb
5 5 4
Cartesian
-0.640 -4.905 1.370
-3.341 -3.882 4.521
-2.161 -7.944 4.268
1.920 -6.808 4.214
-3.527 -10.705 7.178
-1.528 -2.738 -0.104
-0.004 -7.488 5.968
-4.362 -8.502 5.879
1.630 -4.538 2.766
-2.852 -5.772 2.669
-1.328 -2.993 3.016
-1.487 -10.194 5.624
-0.129 -7.195 2.637
-2.645 -5.919 6.006
```

Computed properties:
Space group = No. 82



[8]
A plane-wave DFT calculation with PBE was carried out for a relaxed RbUZn crystal.

The structure in POSCAR format:
```
RbUZn
1.0
-1.955 2.385 4.204
-4.934 -0.878 1.436
-1.010 -2.741 4.318
U Zn Rb
1 1 1
Cartesian
0.000 0.000 0.000
-1.975 -0.309 2.490
-3.949 -0.617 4.979
```

Computed properties:
Energy above the most stable polymorph in this dataset = 0 meV/atom
Space group = No. 216



[9]
A plane-wave DFT calculation with PBE was carried out for a relaxed ScCdCuSi crystal.

The structure in POSCAR format:
```
ScCdCuSi
1.0
3.775 -2.070 1.598
-0.359 -3.292 3.181
0.867 -4.370 -1.111
Cd Sc Cu Si
1 1 1 1
Cartesian
1.071 -2.433 0.917
2.142 -4.866 1.834
3.213 -7.299 2.751
0.000 0.000 0.000
```

Computed properties:
Energy above the most stable polymorph in this dataset = 109 meV/atom
Space group = No. 216



[10]
A plane-wave DFT calculation with PBE was carried out for a relaxed KNaHo crystal.

The structure in POSCAR format:
```
KNaHo
1.0
-4.442 -3.365 2.098
0.870 -5.809 0.974
0.220 -2.084 5.573
Ho Na K
1 1 1
Cartesian
0.000 0.000 0.000
-0.838 -2.815 2.161
-2.514 -8.444 6.483
```

Computed properties:
Energy above the most stable polymorph in this dataset = 0 meV/atom
Space group = No. 216



[11]
A plane-wave DFT calculation with PBE was carried out for a relaxed Tm2Ta crystal.

The structure in POSCAR format:
```
Tm2Ta
1.0
-1.081 -4.850 0.499
-4.551 -1.679 -1.187
-0.632 -2.847 -4.054
Ta Tm
1 2
Cartesian
0.000 0.000 0.000
-1.566 -2.344 -1.186
-4.698 -7.032 -3.557
```

Computed properties:
Energy above the most stable polymorph in this dataset = 0 meV/atom
Space group = No. 225
Formation energy from the elements = 0.906 eV per atom



[12]
A plane-wave DFT calculation with PBE was carried out for a relaxed Pa2ReSn crystal.

The structure in POSCAR format:
```
Pa2ReSn
1.0
3.236 0.000 0.000
0.000 3.236 0.000
0.000 0.000 8.755
Pa Re Sn
2 1 1
Cartesian
0.000 0.000 1.863
0.000 0.000 6.892
1.618 1.618 0.000
1.618 1.618 4.378
```

Computed properties:
Space group = No. 123



| no. | E_tot (eV per formula unit) |
| --- | --- |
| 1 | -58.71 |
| 2 | -24.39 |
| 3 | -34.23 |
| 4 | -22.69 |
| 5 | -7.91 |
| 6 | -38.18 |
| 7 | -97.91 |
| 8 | -9.30 |
| 9 | -16.29 |
| 10 | -4.02 |
| 11 | -18.09 |
| 12 | -36.39 |